A plane-wave DFT calculation with PBE-GGA was carried out for crystalline NaHf3Sb at its relaxed geometry.

Crystal system: cubic
Total magnetization: 0.00 μB/cell
Relative energy among the computed polymorphs: 353 meV/atom
Electronic total energy: -28.66 eV for the cell shown

a = 4.9397 Å, b = 4.9397 Å, c = 4.9397 Å
α = 90.00°, β = 90.00°, γ = 90.00°
Closest atoms and distances in Å follow each position.
Fractional positions:
Sb1 0.5000 0.5000 0.5000  12 Hf 3.49
Hf1 0.0000 0.5000 0.0000  2 Na 2.47
Hf2 0.0000 0.0000 0.5000  2 Na 2.47
Hf3 0.5000 0.0000 0.0000  2 Na 2.47
Na1 0.0000 0.0000 0.0000  6 Hf 2.47



A plane-wave DFT calculation with PBE-GGA was carried out for crystalline NaHfSb2 at its relaxed geometry.

Crystal system: tetragonal
Total magnetization: 0.00 μB/cell
Relative energy among the computed polymorphs: 452 meV/atom
Electronic total energy: -38.31 eV for the cell shown

a = 6.5733 Å, b = 6.5733 Å, c = 8.8192 Å
α = 68.12°, β = 68.12°, γ = 90.00°
Closest atoms and distances in Å follow each position.
Fractional positions:
Sb1 0.6942 0.1250 0.2500  2 Hf 2.76
Sb2 0.0558 0.6250 0.2500  2 Hf 2.76
Sb3 0.3750 0.3058 0.7500  2 Hf 2.76
Sb4 0.8750 0.9442 0.7500  2 Hf 2.76
Hf1 0.0000 0.0000 0.0000  4 Sb 2.76
Hf2 0.7500 0.2500 0.5000  4 Sb 2.76
Na1 0.5000 0.5000 0.0000  4 Sb 3.26
Na2 0.2500 0.7500 0.5000  4 Sb 3.26



A plane-wave DFT calculation with PBE-GGA was carried out for crystalline NaHfSb2 at its relaxed geometry.

Crystal system: tetragonal
Total magnetization: 0.00 μB/cell
Relative energy among the computed polymorphs: 38 meV/atom
Electronic total energy: -20.81 eV for the cell shown

a = 3.4460 Å, b = 3.4460 Å, c = 8.5066 Å
α = 90.00°, β = 90.00°, γ = 90.00°
Closest atoms and distances in Å follow each position.
Fractional positions:
Sb1 0.0000 0.0000 0.7788  4 Hf 3.08, 4 Na 3.40, 4 Sb 3.45
Sb2 0.0000 0.0000 0.2212  4 Hf 3.08, 4 Na 3.40, 4 Sb 3.45
Hf1 0.5000 0.5000 0.0000  8 Sb 3.08, 4 Hf 3.45
Na1 0.5000 0.5000 0.5000  8 Sb 3.40, 4 Na 3.45



A plane-wave DFT calculation with PBE-GGA was carried out for crystalline NaHfSb3 at its relaxed geometry.

Crystal system: cubic
Total magnetization: 0.00 μB/cell
Relative energy among the computed polymorphs: 0 meV/atom
Electronic total energy: -23.77 eV for the cell shown

a = 5.5517 Å, b = 5.5517 Å, c = 5.5517 Å
α = 90.00°, β = 90.00°, γ = 90.00°
Closest atoms and distances in Å follow each position.
Fractional positions:
Sb1 0.0000 0.5000 0.0000  2 Hf 2.78
Sb2 0.0000 0.0000 0.5000  2 Hf 2.78
Sb3 0.5000 0.0000 0.0000  2 Hf 2.78
Hf1 0.0000 0.0000 0.0000  6 Sb 2.78
Na1 0.5000 0.5000 0.5000  12 Sb 3.93



Q: What is the electronic total energy in the third record?
A: -20.81 eV for the cell shown